Record 1
# Tb2DyY2Tm4 (GGA-PBE, relaxed)
data_Tb2DyY2Tm4
_chemical_formula_sum 'Tb4 Dy2 Y4 Tm8'
_symmetry_space_group_name_H-M 'C 1 2/m 1'
_symmetry_Int_Tables_number 12
_symmetry_space_group_name_Hall '-C 2y'
_cell_length_a 18.4855
_cell_length_b 3.5576
_cell_length_c 9.4551
_cell_angle_alpha 90.00
_cell_angle_beta 115.77
_cell_angle_gamma 90.00
loop_
_atom_site_label
_atom_site_type_symbol
_atom_site_fract_x
_atom_site_fract_y
_atom_site_fract_z
Tb1 Tb 0.1663 0.0000 0.0023
Dy1 Dy 0.0000 0.5000 0.0000
Y1 Y 0.1471 0.5000 0.6642
Tm1 Tm 0.0190 0.0000 0.3334
Tm2 Tm 0.1851 0.5000 0.3358
# mass density = 7.91 g/cm3
# DOS(E_F) = 12.02 states/eV/f.u.
# formation enthalpy at 0 K = -0.044 kcal/mol of atoms



Record 2
# Pr3Nd2Ho6Pu (GGA-PBE, relaxed)
data_Pr3Nd2Ho6Pu
_chemical_formula_sum 'Pr6 Nd4 Ho12 Pu2'
_symmetry_space_group_name_H-M 'C 1 2/m 1'
_symmetry_Int_Tables_number 12
_symmetry_space_group_name_Hall '-C 2y'
_cell_length_a 6.2297
_cell_length_b 10.7963
_cell_length_c 11.7691
_cell_angle_alpha 90.00
_cell_angle_beta 100.19
_cell_angle_gamma 90.00
loop_
_atom_site_label
_atom_site_type_symbol
_atom_site_fract_x
_atom_site_fract_y
_atom_site_fract_z
Pr1 Pr 0.0000 0.0000 0.0000
Pr2 Pr 0.0000 0.3328 0.0000
Nd1 Nd 0.0000 0.1666 0.5000
Ho1 Ho 0.2464 0.3357 0.7462
Ho2 Ho 0.2465 0.5000 0.2537
Pu1 Pu 0.0000 0.5000 0.5000
# mass density = 8.29 g/cm3
# DOS(E_F) = 22.68 states/eV/f.u.
# formation enthalpy at 0 K = 1.022 kcal/mol of atoms



Record 3
# Ac5Ni2Pb (GGA-PBE, relaxed)
data_Ac5Ni2Pb
_chemical_formula_sum 'Ac20 Ni8 Pb4'
_symmetry_space_group_name_H-M 'I 4/m c m'
_symmetry_Int_Tables_number 140
_symmetry_space_group_name_Hall '-I 4 2c'
_cell_length_a 8.4475
_cell_length_b 8.4475
_cell_length_c 14.6449
_cell_angle_alpha 90.00
_cell_angle_beta 90.00
_cell_angle_gamma 90.00
loop_
_atom_site_label
_atom_site_type_symbol
_atom_site_fract_x
_atom_site_fract_y
_atom_site_fract_z
Ac1 Ac 0.0000 0.0000 0.0000
Ac2 Ac 0.1581 0.3419 0.1352
Ni1 Ni 0.1343 0.3657 0.5000
Pb1 Pb 0.0000 0.0000 0.2500
# mass density = 9.28 g/cm3
# DOS(E_F) = 7.36 states/eV/f.u.
# formation enthalpy at 0 K = -6.116 kcal/mol of atoms



Q: What is the formula in the second record?
A: Pr3Nd2Ho6Pu